The following is a PBE calculation of an optimized crystal structure of Ga2Ag5Au4, from the Alexandria database.

## Properties
Magnetic moment   0.00 μB/atom
Symmetry   No. 10
Calculated formation energy   -42 meV/atom
E   -33.88 eV for the cell shown
Energy above the most stable polymorph in this dataset   0 meV/atom

Unit cell a=2.9202 b=7.4495 c=9.1525 alpha=86.34 beta=90.00 gamma=90.00
Positions (direct):
Ga  0.0000  0.9183  0.6469
Ga  0.0000  0.0817  0.3531
Ag  0.0000  0.4618  0.3235
Ag  0.0000  0.8239  0.1512
Ag  0.0000  0.5000  0.0000
Ag  0.0000  0.1761  0.8488
Ag  0.0000  0.5382  0.6765
Au  0.5000  0.2382  0.5655
Au  0.5000  0.8077  0.8775
Au  0.5000  0.7618  0.4345
Au  0.5000  0.1923  0.1225